VASP calculation (PBE-GGA) on a geometry-optimized Cs2NpPbS4 structure.

```
8
Lattice="-0.171 3.284 2.666 3.919 -4.512 5.808 7.293 1.154 -0.953" Properties=species:S:1:pos:R:3 pbc="T T T"
S 2.961 2.167 4.243
Np 5.606 -1.679 2.427
Pb 1.874 -0.614 4.237
S 8.080 -2.241 3.278
Cs 7.293 1.154 -0.953
S 6.301 1.012 2.519
S 4.740 -1.086 5.002
Cs 3.561 2.219 0.856
```

## Properties
The value obtained for the total energy is -5.477 eV/atom. Its space group is P2/m (10). For the formation energy from raw total energies, the calculation gives -1.12 eV per atom.

=====

VASP calculation (PBE-GGA) on a geometry-optimized Cs2Np3PbS8 structure.

```
14
Lattice="8.138 0.000 0.000 4.069 7.048 0.000 4.069 2.349 8.417" Properties=species:S:1:pos:R:3 pbc="T T T"
Cs 8.138 4.699 4.316
Np 2.061 3.509 0.044
S 12.208 7.048 7.126
Np 4.069 0.031 0.044
Np 6.077 3.509 0.044
Cs 4.069 2.349 4.965
S 8.138 6.819 7.087
S 8.138 2.471 1.524
S 9.974 3.639 7.087
Pb 12.208 7.048 2.623
S 4.069 2.349 1.482
S 6.303 3.639 7.087
S 6.209 5.813 1.524
S 10.068 5.813 1.524
```

## Properties
The value obtained for the total energy is -6.685 eV/atom. Its space group is R3m (160). For the formation energy from raw total energies, the calculation gives -1.17 eV per atom.

=====

VASP calculation (PBE-GGA) on a geometry-optimized Cs2Np2PbSe6 structure.

```
11
Lattice="7.424 -0.055 0.111 -3.717 6.427 0.111 -1.266 -2.176 8.425" Properties=species:S:1:pos:R:3 pbc="T T T"
Np 3.068 1.023 4.324
Se 4.447 3.014 2.846
Cs 5.657 0.973 0.111
Se 0.422 5.356 2.846
Se -2.006 1.183 5.802
Cs -1.950 5.399 0.111
Se 2.020 -1.159 5.802
Pb -0.633 -1.088 4.213
Se 1.707 2.933 5.926
Se 0.735 1.263 2.722
Np -0.627 3.173 4.324
```

## Properties
The value obtained for the total energy is -5.856 eV/atom. Its space group is C2/m (12). For the formation energy from raw total energies, the calculation gives -1.11 eV per atom.

=====

VASP calculation (PBE-GGA) on a geometry-optimized Cs2Np3PbSe8 structure.

```
14
Lattice="8.476 0.000 0.000 4.238 7.341 0.000 4.238 2.447 8.762" Properties=species:S:1:pos:R:3 pbc="T T T"
Se 10.484 6.053 1.628
Se 6.531 3.771 7.344
Se 10.422 3.771 7.344
Np 4.238 0.031 0.043
Pb 12.715 7.341 2.776
Cs 4.238 2.447 5.119
Np 2.146 3.655 0.043
Np 6.331 3.655 0.043
Se 12.715 7.341 7.356
Se 8.476 2.576 1.628
Se 4.238 2.447 1.580
Se 8.476 7.140 7.344
Se 6.469 6.053 1.628
Cs 8.476 4.894 4.506
```

## Properties
The value obtained for the total energy is -6.174 eV/atom. Its space group is R3m (160). For the formation energy from raw total energies, the calculation gives -1.02 eV per atom.